[1]
# PaRe3Si3

A relaxed structure of PaRe3Si3 (PBE, the Alexandria database).

The uncorrected formation energy is 583.3 meV/atom.

Unit cell a=6.581 b=6.581 c=6.581 alpha=90.00 beta=90.00 gamma=90.00
Site moments in Bohr magnetons follow the coordinates.
Fractional coordinates of all 14 atoms:
Re: 0.000 0.250 0.500  -0.40
Re: 0.500 0.000 0.250  -0.40
Re: 0.750 0.500 0.000  -0.40
Re: 0.000 0.750 0.500  -0.40
Re: 0.250 0.500 0.000  -0.40
Re: 0.500 0.000 0.750  -0.40
Si: 0.500 0.750 0.000  0.01
Si: 0.000 0.500 0.750  0.01
Si: 0.750 0.000 0.500  0.01
Si: 0.250 0.000 0.500  0.01
Si: 0.000 0.500 0.250  0.01
Si: 0.500 0.250 0.000  0.01
Pa: 0.500 0.500 0.500  1.25
Pa: 0.000 0.000 0.000  1.25

=====

[2]
# La5Tl2Si2

A relaxed structure of La5Tl2Si2 (PBE, the Alexandria database).

The uncorrected formation energy is -532.0 meV/atom.

Unit cell a=8.005 b=8.095 c=9.309 alpha=90.00 beta=64.53 gamma=90.00
Fractional coordinates of all 18 atoms:
La: 0.816 0.819 0.750
La: 0.566 0.819 0.250
La: 0.184 0.181 0.250
La: 0.066 0.681 0.250
La: 0.316 0.681 0.750
La: 0.000 0.000 0.000
La: 0.934 0.319 0.750
La: 0.684 0.319 0.250
La: 0.434 0.181 0.750
La: 0.500 0.500 0.000
Si: 0.392 0.888 0.000
Si: 0.608 0.112 0.000
Si: 0.108 0.388 0.000
Si: 0.892 0.612 0.000
Tl: 0.777 0.000 0.446
Tl: 0.723 0.500 0.554
Tl: 0.223 0.000 0.554
Tl: 0.277 0.500 0.446

=====

[3]
# YCuIr2

A relaxed structure of YCuIr2 (PBE, the Alexandria database).

Unit cell a=4.386 b=2.965 c=5.295 alpha=76.77 beta=90.00 gamma=90.00
Fractional coordinates of all 4 atoms:
Ir: 0.000 0.861 0.024
Ir: 0.500 0.243 0.185
Cu: 0.500 0.908 0.753
Y: 0.000 0.488 0.537

=====

[4]
# PuPO4

A relaxed structure of PuPO4 (PBE, the Alexandria database).

The uncorrected formation energy is -2689.0 meV/atom.

Unit cell a=7.052 b=6.452 c=8.173 alpha=54.17 beta=90.00 gamma=90.00
Site moments in Bohr magnetons follow the coordinates.
Fractional coordinates of all 24 atoms:
O: 0.603 0.336 0.473  -0.02
O: 0.993 0.188 0.749  -0.02
O: 0.334 0.885 0.116  -0.01
O: 0.285 0.417 0.872  -0.02
O: 0.166 0.885 0.616  -0.01
O: 0.897 0.336 0.973  -0.02
O: 0.493 0.812 0.751  -0.02
O: 0.666 0.115 0.884  -0.01
O: 0.715 0.583 0.128  -0.02
O: 0.103 0.664 0.027  -0.02
O: 0.215 0.417 0.372  -0.02
O: 0.507 0.188 0.249  -0.02
O: 0.007 0.812 0.251  -0.02
O: 0.834 0.115 0.384  -0.01
O: 0.785 0.583 0.628  -0.02
O: 0.397 0.664 0.527  -0.02
P: 0.164 0.694 0.195  0.01
P: 0.836 0.306 0.805  0.01
P: 0.664 0.306 0.305  0.01
P: 0.336 0.694 0.695  0.01
Pu: 0.338 0.187 0.714  5.00
Pu: 0.162 0.187 0.214  5.00
Pu: 0.838 0.813 0.786  5.00
Pu: 0.662 0.813 0.286  5.00

=====

[5]
# Ba4P5I

A relaxed structure of Ba4P5I (PBE, the Alexandria database).

The uncorrected formation energy is -947.1 meV/atom.

Unit cell a=4.111 b=12.054 c=12.515 alpha=90.00 beta=90.00 gamma=90.00
Fractional coordinates of all 20 atoms:
P: 0.251 0.783 0.224
P: 0.251 0.783 0.776
P: 0.251 0.217 0.776
P: 0.251 0.217 0.224
P: 0.749 0.000 0.500
P: 0.749 0.717 0.276
P: 0.749 0.717 0.724
P: 0.749 0.283 0.276
P: 0.749 0.283 0.724
P: 0.251 0.500 0.000
Ba: 0.247 0.500 0.744
Ba: 0.753 0.000 0.244
Ba: 0.749 0.703 0.000
Ba: 0.753 0.000 0.756
Ba: 0.749 0.297 0.000
Ba: 0.251 0.797 0.500
Ba: 0.251 0.203 0.500
Ba: 0.247 0.500 0.256
I: 0.740 0.500 0.500
I: 0.260 0.000 0.000

=====

[6]
# ErNi3Ge3

A relaxed structure of ErNi3Ge3 (PBE, the Alexandria database).

Unit cell a=6.391 b=6.391 c=6.391 alpha=90.00 beta=90.00 gamma=90.00
Fractional coordinates of all 14 atoms:
Ni: 0.000 0.500 0.250
Ni: 0.250 0.000 0.500
Ni: 0.500 0.250 0.000
Ni: 0.500 0.750 0.000
Ni: 0.750 0.000 0.500
Ni: 0.000 0.500 0.750
Ge: 0.250 0.500 0.000
Ge: 0.500 0.000 0.750
Ge: 0.500 0.000 0.250
Ge: 0.000 0.750 0.500
Ge: 0.000 0.250 0.500
Ge: 0.750 0.500 0.000
Er: 0.500 0.500 0.500
Er: 0.000 0.000 0.000

=====

[7]
# Tl3As2Au3

A relaxed structure of Tl3As2Au3 (PBE, the Alexandria database).

Unit cell a=6.520 b=8.338 c=15.270 alpha=90.00 beta=90.00 gamma=90.00
Fractional coordinates of all 32 atoms:
Au: 0.649 0.288 0.026
Au: 0.649 0.288 0.474
Au: 0.149 0.212 0.526
Au: 0.473 0.344 0.750
Au: 0.851 0.788 0.026
Au: 0.851 0.788 0.474
Au: 0.027 0.844 0.750
Au: 0.351 0.712 0.526
Au: 0.351 0.712 0.974
Au: 0.973 0.156 0.250
Au: 0.149 0.212 0.974
Au: 0.527 0.656 0.250
As: 0.097 0.909 0.589
As: 0.903 0.091 0.089
As: 0.597 0.591 0.411
As: 0.403 0.409 0.911
As: 0.403 0.409 0.589
As: 0.903 0.091 0.411
As: 0.097 0.909 0.911
As: 0.597 0.591 0.089
Tl: 0.909 0.537 0.881
Tl: 0.040 0.211 0.750
Tl: 0.591 0.037 0.619
Tl: 0.960 0.789 0.250
Tl: 0.091 0.463 0.119
Tl: 0.409 0.963 0.381
Tl: 0.540 0.289 0.250
Tl: 0.460 0.711 0.750
Tl: 0.591 0.037 0.881
Tl: 0.091 0.463 0.381
Tl: 0.909 0.537 0.619
Tl: 0.409 0.963 0.119

=====

[8]
# Zn4Pd5Pt2

A relaxed structure of Zn4Pd5Pt2 (PBE, the Alexandria database).

Unit cell a=4.021 b=9.168 c=4.931 alpha=80.46 beta=113.90 gamma=90.03
Fractional coordinates of all 11 atoms:
Pd: 0.862 0.446 0.724
Pd: 0.500 0.000 0.000
Pd: 0.783 0.098 0.565
Pd: 0.217 0.902 0.435
Pd: 0.138 0.554 0.276
Pt: 0.422 0.645 0.844
Pt: 0.578 0.355 0.156
Zn: 0.052 0.175 0.103
Zn: 0.948 0.825 0.897
Zn: 0.307 0.280 0.613
Zn: 0.693 0.720 0.387

=====

[9]
# LaScHg4

A relaxed structure of LaScHg4 (PBE, the Alexandria database).

Unit cell a=5.970 b=5.970 c=5.970 alpha=60.00 beta=60.00 gamma=60.00
Site moments in Bohr magnetons follow the coordinates.
Fractional coordinates of all 6 atoms:
La: 0.750 0.750 0.750  0.06
Hg: 0.375 0.375 0.876  0.00
Hg: 0.375 0.375 0.375  0.00
Hg: 0.375 0.876 0.375  0.00
Hg: 0.876 0.375 0.375  0.00
Sc: 0.000 0.000 0.000  0.21

=====

[10]
# Tb5MgZn3

A relaxed structure of Tb5MgZn3 (PBE, the Alexandria database).

Unit cell a=6.617 b=8.862 c=8.860 alpha=120.00 beta=90.00 gamma=90.00
Fractional coordinates of all 18 atoms:
Tb: 0.750 0.315 0.000
Tb: 0.000 0.667 0.333
Tb: 0.000 0.333 0.667
Tb: 0.500 0.333 0.667
Tb: 0.250 0.315 0.315
Tb: 0.250 0.685 0.000
Tb: 0.250 0.000 0.685
Tb: 0.500 0.667 0.333
Tb: 0.750 0.000 0.315
Tb: 0.750 0.685 0.685
Zn: 0.250 0.000 0.348
Zn: 0.250 0.652 0.652
Zn: 0.750 0.348 0.348
Zn: 0.750 0.652 0.000
Zn: 0.250 0.348 0.000
Zn: 0.750 0.000 0.652
Mg: 0.500 0.000 0.000
Mg: 0.000 0.000 0.000

=====

[11]
# AcPrHo6

A relaxed structure of AcPrHo6 (PBE, the Alexandria database).

Unit cell a=6.010 b=6.010 c=8.887 alpha=79.68 beta=79.68 gamma=70.68
Fractional coordinates of all 8 atoms:
Ho: 0.377 0.377 0.920
Ho: 0.477 0.956 0.702
Ho: 0.044 0.523 0.298
Ho: 0.956 0.477 0.702
Ho: 0.623 0.623 0.080
Ho: 0.523 0.044 0.298
Ac: 0.000 0.000 0.000
Pr: 0.500 0.500 0.500

=====

[12]
# Cs2Hg2SbTe4

A relaxed structure of Cs2Hg2SbTe4 (PBE, the Alexandria database).

The uncorrected formation energy is -466.9 meV/atom.

Unit cell a=4.696 b=8.766 c=9.423 alpha=108.58 beta=104.43 gamma=90.00
Fractional coordinates of all 9 atoms:
Cs: 0.864 0.432 0.728
Cs: 0.136 0.568 0.272
Hg: 0.331 0.058 0.662
Hg: 0.669 0.942 0.338
Te: 0.504 0.766 0.008
Te: 0.191 0.161 0.382
Te: 0.496 0.234 0.992
Te: 0.809 0.839 0.618
Sb: 0.000 0.000 0.000

=====

[13]
# TiCdS2N

A relaxed structure of TiCdS2N (PBE, the Alexandria database).

The uncorrected formation energy is -214.5 meV/atom.

Unit cell a=4.881 b=4.881 c=3.815 alpha=90.00 beta=90.00 gamma=90.00
Site moments in Bohr magnetons follow the coordinates.
Fractional coordinates of all 5 atoms:
S: 0.500 0.000 0.000  0.11
S: 0.000 0.500 0.000  0.11
Ti: 0.000 0.000 0.000  -0.08
Cd: 0.500 0.500 0.500  -0.01
N: 0.000 0.000 0.500  0.53

=====

[14]
# NaCdAg

A relaxed structure of NaCdAg (PBE, the Alexandria database).

Unit cell a=2.988 b=5.070 c=5.070 alpha=120.00 beta=90.00 gamma=90.00
Fractional coordinates of all 3 atoms:
Cd: 0.500 0.333 0.667
Ag: 0.500 0.667 0.333
Na: 0.000 0.000 0.000

=====

[15]
# AcSi3Pd9

A relaxed structure of AcSi3Pd9 (PBE, the Alexandria database).

The uncorrected formation energy is -629.2 meV/atom.

Unit cell a=5.254 b=6.380 c=7.180 alpha=83.65 beta=68.54 gamma=72.40
Fractional coordinates of all 13 atoms:
Si: 0.500 0.000 0.500
Si: 0.500 0.500 0.000
Si: 0.000 0.000 0.500
Pd: 0.466 0.768 0.225
Pd: 0.690 0.768 0.775
Pd: 0.299 0.682 0.631
Pd: 0.534 0.232 0.775
Pd: 0.071 0.318 0.631
Pd: 0.310 0.232 0.225
Pd: 0.929 0.682 0.369
Pd: 0.000 0.500 0.000
Pd: 0.701 0.318 0.369
Ac: 0.000 0.000 0.000

=====

[16]
# Tb2PmDyHo4

A relaxed structure of Tb2PmDyHo4 (PBE, the Alexandria database).

Unit cell a=9.477 b=9.477 c=11.741 alpha=128.28 beta=128.28 gamma=88.63
Site moments in Bohr magnetons follow the coordinates.
Fractional coordinates of all 16 atoms:
Ho: 0.750 0.752 0.501  0.35
Ho: 0.748 0.249 0.499  0.33
Ho: 0.748 0.750 0.999  0.35
Ho: 0.252 0.751 0.501  0.33
Ho: 0.251 0.752 0.001  0.33
Ho: 0.749 0.248 0.999  0.33
Ho: 0.252 0.250 0.001  0.35
Ho: 0.250 0.248 0.499  0.35
Tb: 0.000 0.000 0.500  0.35
Tb: 0.500 0.500 0.000  0.35
Tb: 0.500 0.000 0.000  0.31
Tb: 0.500 0.000 0.500  0.31
Pm: 0.000 0.500 0.500  0.29
Pm: 0.000 0.500 0.000  0.29
Dy: 0.500 0.500 0.500  0.35
Dy: 0.000 0.000 0.000  0.35

=====

[17]
# NaTi3In

A relaxed structure of NaTi3In (PBE, the Alexandria database).

Unit cell a=4.726 b=4.726 c=4.726 alpha=90.00 beta=90.00 gamma=90.00
Fractional coordinates of all 5 atoms:
Ti: 0.500 0.000 0.000
Ti: 0.000 0.500 0.000
Ti: 0.000 0.000 0.500
Na: 0.000 0.000 0.000
In: 0.500 0.500 0.500

=====

[18]
# Ca2PrHg3

A relaxed structure of Ca2PrHg3 (PBE, the Alexandria database).

Unit cell a=5.385 b=5.385 c=6.647 alpha=90.00 beta=90.00 gamma=120.00
Fractional coordinates of all 6 atoms:
Hg: 0.000 0.000 0.500
Hg: 0.333 0.667 0.164
Hg: 0.667 0.333 0.836
Ca: 0.333 0.667 0.660
Ca: 0.667 0.333 0.340
Pr: 0.000 0.000 0.000

=====

[19]
# Nd2Er7Th2

A relaxed structure of Nd2Er7Th2 (PBE, the Alexandria database).

Unit cell a=6.112 b=7.989 c=7.989 alpha=91.93 beta=73.74 gamma=73.74
Fractional coordinates of all 11 atoms:
Nd: 0.500 0.788 0.212
Nd: 0.500 0.212 0.788
Er: 0.424 0.244 0.244
Er: 0.830 0.932 0.411
Er: 0.576 0.756 0.756
Er: 0.170 0.068 0.589
Er: 0.830 0.411 0.932
Er: 0.170 0.589 0.068
Er: 0.000 0.000 0.000
Th: 0.186 0.593 0.593
Th: 0.814 0.407 0.407

=====

[20]
# TlOsF3

A relaxed structure of TlOsF3 (PBE, the Alexandria database).

The uncorrected formation energy is -839.1 meV/atom.

Unit cell a=4.315 b=4.315 c=4.315 alpha=90.00 beta=90.00 gamma=90.00
Fractional coordinates of all 5 atoms:
F: 0.000 0.500 0.000
F: 0.500 0.000 0.000
F: 0.000 0.000 0.500
Os: 0.000 0.000 0.000
Tl: 0.500 0.500 0.500

=====

Calculated magnetic moment in order - 0.1; 0.0; 0.0; 20.0; 0.0; 0.0; 0.0; 0.0; 0.5; 0.0; 0.0; 0.0; 1.0; 0.0; 0.0; 7.0; 0.0; 0.0; 0.0; 0.0 μB per cell
Calculated uncorrected energy in order - -8.43; -5.00; -7.20; -9.28; -4.58; -5.20; -3.34; -4.33; -2.27; -3.35; -4.14; -2.58; -5.29; -1.74; -5.79; -4.18; -4.20; -2.16; -4.94; -4.68 eV/atom